Entry 1:
3
Lattice="-1.344 2.130 4.327 1.344 -2.130 4.327 1.344 2.130 -4.327" Properties=species:S:1:pos:R:3 comment="Ag2Ru | Alexandria | PBE | optimized geometry" sg=Immm e_above_lowest_polymorph_mev_per_atom=234 pbc="T T T"
Ag 0.000 0.000 1.423
Ag 0.000 0.000 7.232
Ru 0.000 0.000 4.327

Entry 2:
4
Lattice="0.000 3.574 3.574 3.574 0.000 3.574 3.574 3.574 0.000" Properties=species:S:1:pos:R:3 comment="LiSmThRu | Alexandria | PBE | optimized geometry" dft_energy_ev_per_cell=-24.0 sg=F-43m pbc="T T T"
Li 0.000 0.000 0.000
Sm 1.787 1.787 1.787
Th 5.361 5.361 5.361
Ru 3.574 3.574 3.574

Entry 3:
5
Lattice="4.504 0.000 0.000 0.000 4.504 0.000 0.000 0.000 4.504" Properties=species:S:1:pos:R:3 comment="LiHf3C | Alexandria | PBE | optimized geometry" sg=Pm-3m e_above_lowest_polymorph_mev_per_atom=0 pbc="T T T"
Li 0.000 0.000 0.000
Hf 0.000 2.252 2.252
Hf 2.252 0.000 2.252
Hf 2.252 2.252 0.000
C 2.252 2.252 2.252

Entry 4:
12
Lattice="6.191 -1.984 0.000 6.191 1.984 0.000 -4.876 0.000 9.192" Properties=species:S:1:pos:R:3 comment="Hf5Ta2Ga5 | Alexandria | PBE | optimized geometry" dft_energy_ev_per_cell=-91.5 sg=C2/m pbc="T T T"
Hf 0.000 0.000 0.000
Hf -2.384 0.000 6.934
Hf -0.461 0.000 4.492
Hf 7.967 0.000 4.700
Hf 9.890 0.000 2.258
Ta 1.484 0.000 6.951
Ta 6.022 0.000 2.241
Ga 1.682 0.000 2.552
Ga 4.042 0.000 0.166
Ga 3.753 0.000 4.596
Ga 3.463 0.000 9.026
Ga 5.824 0.000 6.640

Entry 5:
6
Lattice="4.568 0.000 0.000 -2.284 3.956 0.000 0.000 0.000 7.343" Properties=species:S:1:pos:R:3 comment="TbNdGa2Au2 | Alexandria | PBE | optimized geometry" dft_energy_ev_per_cell=-26.7 sg=P-3m1 pbc="T T T"
Tb 0.000 0.000 0.000
Nd 0.000 0.000 3.672
Ga 0.000 2.637 1.735
Ga 2.284 1.319 5.608
Au 0.000 2.637 5.637
Au 2.284 1.319 1.707

Entry 6:
5
Lattice="4.436 0.000 0.000 0.000 4.436 0.000 0.000 0.000 4.436" Properties=species:S:1:pos:R:3 comment="KRe3Mo | Alexandria | PBE | optimized geometry" sg=Pm-3m e_above_lowest_polymorph_mev_per_atom=1523 pbc="T T T"
K 0.000 0.000 0.000
Re 0.000 0.000 2.218
Re 0.000 2.218 0.000
Re 2.218 0.000 0.000
Mo 2.218 2.218 2.218

Entry 7:
9
Lattice="5.493 0.000 0.000 0.000 5.493 0.000 0.000 0.000 11.506" Properties=species:S:1:pos:R:3 comment="HoErPu2Te5 | Alexandria | PBE | optimized geometry" raw_formation_energy_ev_per_atom=-0.683 sg=P4/mmm pbc="T T T"
Ho 0.000 0.000 0.000
Er 0.000 0.000 5.753
Pu 2.747 2.747 3.646
Pu 2.747 2.747 7.861
Te 0.000 0.000 2.810
Te 0.000 0.000 8.696
Te 0.000 2.747 5.753
Te 2.747 0.000 5.753
Te 2.747 2.747 0.000

Entry 8:
8
Lattice="7.479 0.000 0.000 0.000 4.274 0.000 -2.427 0.000 7.239" Properties=species:S:1:pos:R:3 comment="NaPrSc2Te4 | Alexandria | PBE | optimized geometry" raw_formation_energy_ev_per_atom=-1.230 sg=P2/m pbc="T T T"
Na 0.000 0.000 0.000
Pr 3.740 2.137 0.000
Sc -1.213 2.137 3.619
Sc 2.526 0.000 3.619
Te 0.012 0.000 5.257
Te 1.246 2.137 1.981
Te 3.807 2.137 5.258
Te 5.040 0.000 1.982

Entry 9:
12
Lattice="6.135 0.000 0.000 0.000 9.666 0.000 -2.520 0.000 7.004" Properties=species:S:1:pos:R:3 comment="TmGaTe4 | Alexandria | PBE | optimized geometry" raw_formation_energy_ev_per_atom=-0.558 sg=P2_1/m pbc="T T T"
Tm 0.050 2.416 1.482
Tm 3.564 7.249 5.522
Ga -0.219 7.249 2.312
Ga 3.833 2.416 4.693
Te 1.095 5.325 0.843
Te 1.095 9.174 0.843
Te 0.286 2.416 4.499
Te 0.371 7.249 4.833
Te 3.244 2.416 2.171
Te 3.329 7.249 2.505
Te 2.519 0.492 6.162
Te 2.519 4.341 6.162

Entry 10:
10
Lattice="-3.908 3.908 6.268 3.908 -3.908 6.268 3.908 3.908 -6.268" Properties=species:S:1:pos:R:3 comment="Rb2YPbCl6 | Alexandria | PBE | optimized geometry" raw_formation_energy_ev_per_atom=-1.725 sg=I4/mmm pbc="T T T"
Rb 3.908 0.000 3.134
Rb 0.000 3.908 3.134
Y 0.000 0.000 0.000
Pb 0.000 0.000 6.268
Cl 0.000 0.000 2.638
Cl 1.866 1.866 0.000
Cl 2.042 -2.042 6.268
Cl -2.042 2.042 6.268
Cl 2.042 2.042 6.268
Cl 0.000 0.000 9.898

Entry 11:
8
Lattice="4.411 0.000 0.000 -0.812 6.165 0.000 -1.332 -1.278 7.131" Properties=species:S:1:pos:R:3 comment="TeBrO2 | Alexandria | PBE | optimized geometry" raw_formation_energy_ev_per_atom=-0.550 sg=P1 e_above_lowest_polymorph_mev_per_atom=80 pbc="T T T"
Te 0.000 0.000 0.000
Te -0.394 2.017 6.026
Br 0.639 0.644 2.411
Br 1.911 3.716 4.501
O -0.136 -0.029 6.274
O 0.650 4.877 0.097
O 2.580 3.408 0.213
O 2.278 1.237 6.894

Entry 12:
5
Lattice="6.767 0.000 0.000 0.000 6.767 0.000 0.000 0.000 6.719" Properties=species:S:1:pos:R:3 comment="CsNaAs2Br | Alexandria | PBE | optimized geometry" raw_formation_energy_ev_per_atom=0.532 sg=P4/mmm e_above_lowest_polymorph_mev_per_atom=496 pbc="T T T"
Cs 0.000 0.000 0.000
Na 3.383 3.383 3.359
As 0.000 3.383 0.000
As 3.383 0.000 0.000
Br 0.000 0.000 3.359

Number 1: total magnetization 0.24 μB/atom. Number 2: total magnetization 0.00 μB/atom. Number 3: total magnetization 0.00 μB/atom. Number 4: total magnetization 0.00 μB/atom. Number 5: total magnetization 0.00 μB/atom. Number 6: total magnetization 0.00 μB/atom. Number 7: total magnetization 1.32 μB/atom. Number 8: total magnetization 0.00 μB/atom. Number 9: total magnetization 0.00 μB/atom. Number 10: total magnetization 0.10 μB/atom. Number 11: total magnetization 0.00 μB/atom. Number 12: total magnetization 1.00 μB/atom.